DFT (GGA-PBE) results for an optimized crystal structure of MnAs.

a b c (Å): 3.837 3.837 10.867
angles (deg): 90.00 90.00 120.00
Each line ends with the local moment (μB).
Atoms (fractional coordinates):
1 Mn 0.667 0.333 0.250  0.92
2 Mn 0.333 0.667 0.750  0.92
3 Mn 0.000 0.000 0.250  0.80
4 Mn 0.000 0.000 0.750  0.80
5 As 0.667 0.333 0.880  -0.03
6 As 0.667 0.333 0.620  -0.03
7 As 0.333 0.667 0.380  -0.03
8 As 0.333 0.667 0.120  -0.03

Results
Calculated volume in A^3/atom: 17.3
DFT formation energy in eV/atom: 0.140
DFT total energy in eV/atom: -6.77



DFT (GGA-PBE) results for an optimized crystal structure of CaMgMo4.

a b c (Å): 5.435 5.435 5.435
angles (deg): 60.00 60.00 60.00
Atoms (fractional coordinates):
1 Mo 0.375 0.375 0.375
2 Mo 0.875 0.375 0.375
3 Mo 0.375 0.875 0.375
4 Mo 0.375 0.375 0.875
5 Mg 0.000 0.000 0.000
6 Ca 0.750 0.750 0.750

Results
Calculated volume in A^3/atom: 18.9
DFT formation energy in eV/atom: 0.436
DFT total energy in eV/atom: -7.38



DFT (GGA-PBE) results for an optimized crystal structure of CuNiSbAu.

a b c (Å): 4.483 4.483 4.483
angles (deg): 60.00 60.00 60.00
Atoms (fractional coordinates):
1 Cu 0.250 0.250 0.250
2 Sb 0.000 0.000 0.000
3 Au 0.500 0.500 0.500
4 Ni 0.750 0.750 0.750

Results
Formation energy from raw total energies in kJ/mol of atoms: 4.4
Calculated volume in A^3/atom: 15.9
DFT total energy in eV/atom: -4.27



DFT (GGA-PBE) results for an optimized crystal structure of Ni2OsW.

a b c (Å): 4.231 4.231 4.231
angles (deg): 60.00 60.00 60.00
Atoms (fractional coordinates):
1 W 0.750 0.750 0.750
2 Ni 0.250 0.250 0.250
3 Ni 0.000 0.000 0.000
4 Os 0.500 0.500 0.500

Results
Calculated volume in A^3/atom: 13.4
DFT formation energy in eV/atom: 0.130
DFT total energy in eV/atom: -8.81